{
  "formula": "NaGdCdGe",
  "functional": "GGA-PBE",
  "state": "optimized geometry",
  "lattice": [[-0.790, 4.451, -2.426], [-2.432, 0.063, -4.516], [-4.740, 1.934, -0.334]],
  "species": ["Na", "Ge", "Gd", "Cd"],
  "fractional_positions": [[0.000, 0.000, 0.000], [0.750, 0.750, 0.750], [0.500, 0.500, 0.500], [0.250, 0.250, 0.250]],
  "dft_energy_ev_per_atom": -5.5430,
  "dos_ef_per_ev_fu": 2.2,
  "formation_energy_ev_per_atom": -0.310
}